1.
{
  "formula": "YEr3H",
  "functional": "GGA-PBE",
  "state": "relaxed",
  "lattice_angstrom": [[-4.798, -0.639, 1.056], [0.178, -4.552, -1.946], [1.221, -1.846, 4.432]],
  "species": ["Y", "H", "Er", "Er", "Er"],
  "frac_coords": [[0.500, 0.500, 0.500], [0.000, 0.000, 0.000], [0.000, 0.500, 0.000], [0.000, 0.000, 0.500], [0.500, 0.000, 0.000]],
  "total_energy_ev_per_atom": -4.8563
}

---

2.
{
  "formula": "Fe2Mo",
  "functional": "GGA-PBE",
  "state": "relaxed",
  "lattice_angstrom": [[3.957, 0.000, 0.000], [1.979, 3.427, 0.000], [1.979, 1.142, 3.231]],
  "species": ["Fe", "Fe", "Mo"],
  "frac_coords": [[0.750, 0.750, 0.750], [0.250, 0.250, 0.250], [0.000, 0.000, 0.000]],
  "ef_ev_per_atom": 0.794
}

---

Total magnetization in μB/f.u., matching the order above: 0.00; 1.37